No. 1
DFT (PBE) results for a relaxed SmPuHgRh crystal.

Geometry as CIF:
```
data_SmPuHgRh
_symmetry_space_group_name_H-M 'F -4 3 m'
_symmetry_Int_Tables_number 216
_symmetry_space_group_name_Hall 'F -4 2 3'
_cell_length_a 7.248
_cell_length_b 7.248
_cell_length_c 7.248
_cell_angle_alpha 90.00
_cell_angle_beta 90.00
_cell_angle_gamma 90.00
loop_
_atom_site_label
_atom_site_fract_x
_atom_site_fract_y
_atom_site_fract_z
Sm1 0.000 0.000 0.000
Pu1 0.000 0.000 0.500
Hg1 0.250 0.250 0.750
Rh1 0.250 0.250 0.250
```

Results
offset from the most stable computed form	0.1018	eV/atom
crystal system	cubic
Fermi-level density of states	11.2	states/eV/f.u.
calculated total energy	-7.002	eV per atom



No. 2
DFT (PBE) results for a relaxed SmPuHgRh crystal.

Geometry as CIF:
```
data_SmPuHgRh
_symmetry_space_group_name_H-M 'P 4 m m'
_symmetry_Int_Tables_number 99
_cell_length_a 3.528
_cell_length_b 3.528
_cell_length_c 7.667
_cell_angle_alpha 90.00
_cell_angle_beta 90.00
_cell_angle_gamma 90.00
loop_
_symmetry_equiv_pos_as_xyz
'x,y,z'
'-y,x,z'
'-x,-y,z'
'y,-x,z'
'-x,y,z'
'y,x,z'
'x,-y,z'
'-y,-x,z'
loop_
_atom_site_label
_atom_site_fract_x
_atom_site_fract_y
_atom_site_fract_z
Sm1 0.000 0.000 0.000
Pu1 0.000 0.000 0.564
Hg1 0.500 0.500 0.280
Rh1 0.500 0.500 0.777
```

Results
offset from the most stable computed form	0.0000	eV/atom
crystal system	tetragonal
Fermi-level density of states	10.1	states/eV/f.u.
calculated total energy	-7.104	eV per atom



No. 3
DFT (PBE) results for a relaxed PuTlHgRh crystal.

Geometry as CIF:
```
data_PuTlHgRh
_symmetry_space_group_name_H-M 'F -4 3 m'
_symmetry_Int_Tables_number 216
_symmetry_space_group_name_Hall 'F -4 2 3'
_cell_length_a 7.096
_cell_length_b 7.096
_cell_length_c 7.096
_cell_angle_alpha 90.00
_cell_angle_beta 90.00
_cell_angle_gamma 90.00
loop_
_atom_site_label
_atom_site_fract_x
_atom_site_fract_y
_atom_site_fract_z
Pu1 0.000 0.000 0.000
Tl1 0.000 0.000 0.500
Hg1 0.250 0.250 0.750
Rh1 0.250 0.250 0.250
```

Results
crystal system	cubic
Fermi-level density of states	12.4	states/eV/f.u.
calculated total energy	-6.092	eV per atom



No. 4
DFT (PBE) results for a relaxed YPuHgRh crystal.

Geometry as CIF:
```
data_YPuHgRh
_symmetry_space_group_name_H-M 'F -4 3 m'
_symmetry_Int_Tables_number 216
_symmetry_space_group_name_Hall 'F -4 2 3'
_cell_length_a 7.189
_cell_length_b 7.189
_cell_length_c 7.189
_cell_angle_alpha 90.00
_cell_angle_beta 90.00
_cell_angle_gamma 90.00
loop_
_atom_site_label
_atom_site_fract_x
_atom_site_fract_y
_atom_site_fract_z
Y1 0.000 0.000 0.000
Pu1 0.000 0.000 0.500
Hg1 0.250 0.250 0.250
Rh1 0.250 0.250 0.750
```

Results
crystal system	cubic
Fermi-level density of states	10.7	states/eV/f.u.
calculated total energy	-7.463	eV per atom



No. 5
DFT (PBE) results for a relaxed PuHgRu2 crystal.

Geometry as CIF:
```
data_PuHgRu2
_symmetry_space_group_name_H-M 'F m -3 m'
_symmetry_Int_Tables_number 225
_symmetry_space_group_name_Hall '-F 4 2 3'
_cell_length_a 6.603
_cell_length_b 6.603
_cell_length_c 6.603
_cell_angle_alpha 90.00
_cell_angle_beta 90.00
_cell_angle_gamma 90.00
loop_
_atom_site_label
_atom_site_fract_x
_atom_site_fract_y
_atom_site_fract_z
Pu1 0.000 0.000 0.000
Hg1 0.000 0.000 0.500
Ru1 0.250 0.250 0.250
```

Results
offset from the most stable computed form	0.0030	eV/atom
crystal system	cubic
Fermi-level density of states	5.3	states/eV/f.u.
calculated total energy	-8.236	eV per atom



No. 6
DFT (PBE) results for a relaxed Pu2HgRu crystal.

Geometry as CIF:
```
data_Pu2HgRu
_symmetry_space_group_name_H-M 'R -3 m'
_symmetry_Int_Tables_number 166
_symmetry_space_group_name_Hall '-R 3 2"'
_cell_length_a 3.8517
_cell_length_b 3.8517
_cell_length_c 24.0318
_cell_angle_alpha 90.00
_cell_angle_beta 90.00
_cell_angle_gamma 120.00
loop_
_atom_site_label
_atom_site_fract_x
_atom_site_fract_y
_atom_site_fract_z
Pu1 0.0000 0.0000 0.2320
Hg1 0.0000 0.0000 0.0000
Ru1 0.0000 0.0000 0.5000
```

Results
offset from the most stable computed form	0.1586	eV/atom
crystal system	trigonal
Fermi-level density of states	14.2	states/eV/f.u.
calculated total energy	-9.590	eV per atom



Values of energy relative to the elements, in order: -7.5 -9.9 -0.1 -8.1 1.4 -0.7, all in kcal/mol of atoms.